First-principles (GGA-PBEsol) data for Ni2OsRh after structural relaxation, as listed in Alexandria.

a = 2.605 Å, b = 3.591 Å, c = 5.188 Å
α = 90.00°, β = 90.00°, γ = 90.00°
Space group Pmmm (No. 47)
Unique sites:
1 Ni 0.000 0.000 0.242
2 Os 0.500 0.500 0.000
3 Rh 0.500 0.500 0.500

- Formation energy from the elements: 10.5 kJ per mole of atoms
- DOS(E_F): 1.2436 states/eV per atom
- Calculated total energy: -0.592 Ry per atom


First-principles (GGA-PBEsol) data for BaBH2 after structural relaxation, as listed in Alexandria.

a = 6.064 Å, b = 6.064 Å, c = 6.064 Å
α = 90.00°, β = 90.00°, γ = 90.00°
Space group Fm-3m (No. 225)
Unique sites:
1 Ba 0.000 0.000 0.000
2 B 0.000 0.000 0.500
3 H 0.250 0.250 0.250

- DOS(E_F): 0.5837 states/eV per atom
- Calculated total energy: -0.237 Ry per atom


First-principles (GGA-PBEsol) data for BaSiCl3 after structural relaxation, as listed in Alexandria.

a = 5.852 Å, b = 5.852 Å, c = 5.852 Å
α = 90.00°, β = 90.00°, γ = 90.00°
Space group Pm-3m (No. 221)
Unique sites:
1 Ba 0.000 0.000 0.000
2 Si 0.500 0.500 0.500
3 Cl 0.000 0.000 0.500

- E_form (uncorrected): -3.3 eV/f.u.
- Distance to the lowest polymorph of the same formula: 414 meV/atom
- DOS(E_F): 1.0747 states/eV per atom
- Calculated total energy: -0.253 Ry per atom


First-principles (GGA-PBEsol) data for Y2BeNi after structural relaxation, as listed in Alexandria.

a = 3.7646 Å, b = 3.7646 Å, c = 20.8928 Å
α = 90.00°, β = 90.00°, γ = 120.00°
Space group R-3m (No. 166, hexagonal axes)
Unique sites:
1 Y 0.0000 0.0000 0.2443
2 Be 0.0000 0.0000 0.0000
3 Ni 0.0000 0.0000 0.5000

- Formation energy from the elements: 14.0 kJ per mole of atoms
- DOS(E_F): 0.8225 states/eV per atom
- Calculated total energy: -0.427 Ry per atom


First-principles (GGA-PBEsol) data for Mo3C4 after structural relaxation, as listed in Alexandria.

a = 4.246 Å, b = 4.246 Å, c = 4.246 Å
α = 90.00°, β = 90.00°, γ = 90.00°
Space group Pm-3m (No. 221)
Unique sites:
1 Mo 0.000 0.000 0.500
2 C 0.000 0.000 0.000
3 C 0.000 0.500 0.500

- Formation energy from the elements: 50.3 kJ per mole of atoms
- DOS(E_F): 0.5988 states/eV per atom
- Calculated total energy: -0.737 Ry per atom


First-principles (GGA-PBEsol) data for SrMn after structural relaxation, as listed in Alexandria.

a = 5.320 Å, b = 5.320 Å, c = 7.489 Å
α = 90.00°, β = 90.00°, γ = 90.00°
Space group I4_1/amd (No. 141, origin choice 2)
Unique sites:
1 Sr 0.000 0.250 0.375
2 Mn 0.000 0.250 0.875

- Formation energy from the elements: 86.2 kJ per mole of atoms
- DOS(E_F): 1.0221 states/eV per atom
- Calculated total energy: -0.361 Ry per atom